No. 1
Here is a crystal of Ca5Cu2N4 relaxed with PBEsol from Alexandria. Energies are from meta-GGA SCAN.

Cell lengths 7.9070, 7.9070, 12.2302 Å; angles 90.00, 90.00, 90.00 degrees
Positions (direct):
Ca: 0.0763 0.6343 0.0900
Ca: 0.0763 0.8657 0.5900
Ca: 0.1343 0.5763 0.4100
Ca: 0.1343 0.9237 0.9100
Ca: 0.2500 0.2500 0.1379
Ca: 0.2500 0.2500 0.6379
Ca: 0.3657 0.5763 0.9100
Ca: 0.3657 0.9237 0.4100
Ca: 0.4237 0.6343 0.5900
Ca: 0.4237 0.8657 0.0900
Ca: 0.5763 0.1343 0.9100
Ca: 0.5763 0.3657 0.4100
Ca: 0.6343 0.0763 0.5900
Ca: 0.6343 0.4237 0.0900
Ca: 0.7500 0.7500 0.3621
Ca: 0.7500 0.7500 0.8621
Ca: 0.8657 0.0763 0.0900
Ca: 0.8657 0.4237 0.5900
Ca: 0.9237 0.1343 0.4100
Ca: 0.9237 0.3657 0.9100
Cu: 0.0932 0.5932 0.7500
Cu: 0.0932 0.9068 0.2500
Cu: 0.4068 0.5932 0.2500
Cu: 0.4068 0.9068 0.7500
Cu: 0.5932 0.0932 0.2500
Cu: 0.5932 0.4068 0.7500
Cu: 0.9068 0.0932 0.7500
Cu: 0.9068 0.4068 0.2500
N: 0.0515 0.6376 0.8955
N: 0.0515 0.8624 0.3955
N: 0.1376 0.5515 0.6045
N: 0.1376 0.9485 0.1045
N: 0.3624 0.5515 0.1045
N: 0.3624 0.9485 0.6045
N: 0.4485 0.6376 0.3955
N: 0.4485 0.8624 0.8955
N: 0.5515 0.1376 0.1045
N: 0.5515 0.3624 0.6045
N: 0.6376 0.0515 0.3955
N: 0.6376 0.4485 0.8955
N: 0.8624 0.0515 0.8955
N: 0.8624 0.4485 0.3955
N: 0.9485 0.1376 0.6045
N: 0.9485 0.3624 0.1045

Properties
The uncorrected formation energy is -0.82 eV/atom. Its total energy is -11.357 eV per atom.


No. 2
Here is a crystal of Mg3ScPt relaxed with PBEsol from Alexandria. Energies are from meta-GGA SCAN.

Cell lengths 5.2430, 5.2430, 5.2430 Å; angles 90.00, 90.00, 90.00 degrees
Positions (direct):
Mg: 0.0000 0.0000 0.5000
Mg: 0.0000 0.5000 0.0000
Mg: 0.5000 0.0000 0.0000
Sc: 0.0000 0.0000 0.0000
Pt: 0.5000 0.5000 0.5000

Properties
The value obtained for the formation energy from the elements is 1528 meV/atom. Its density of states at the Fermi level is 4.4 states/eV per cell. Its total energy is -18.342 eV per atom.


| no. | total magnetization (μB per atom) |
| --- | --- |
| 1 | 0.0000 |
| 2 | 0.0003 |